SrAlAgF6 after structural relaxation. Source: OQMD via LeMat-Bulk, functional PBE.

space group	P-31c, No. 163
raw total energy	-5.22	eV/atom
volume	13.54	A^3/atom
crystal system	trigonal

```
18
Lattice="5.429 0.000 0.000 -2.714 4.702 0.000 0.000 0.000 9.550" Properties=species:S:1:pos:R:3 pbc="T T T"
Sr 0.000 0.000 0.000
Sr 0.000 0.000 4.775
Al 0.000 3.134 2.388
Al 2.714 1.567 7.163
Ag 0.000 3.134 7.163
Ag 2.714 1.567 2.388
F -0.656 1.845 1.310
F -1.445 3.211 3.465
F 0.656 1.845 3.465
F -0.789 4.347 1.310
F 1.925 0.354 6.085
F 1.270 1.490 8.240
F 1.445 3.211 1.310
F 0.789 4.347 3.465
F 3.504 0.354 8.240
F 2.059 2.857 6.085
F 4.159 1.490 6.085
F 3.370 2.857 8.240
```